1.
Compound: CoCSe2N
Source: the Alexandria database
Functional: PBE-GGA
Structure: relaxed

Results
For the spin magnetization, the calculation gives 2.19 Bohr magnetons per cell. As for the crystal system: tetragonal. For the total energy, the calculation gives -5.40 eV per atom. The energy relative to the elements, uncorrected comes out at 0.930 eV/atom. The space group is P4/mmm. The value obtained for the energy above the most stable polymorph in this dataset is 0.000 eV/f.u.

abc: 5.7665 5.7665 2.4692
angles: 90.00 90.00 90.00
Closest atoms and distances in Å follow each position.
Positions (direct):
C 0.0000 0.0000 0.0000  2 N 1.23
Co 0.5000 0.5000 0.5000  2 Co 2.47
Se 0.0000 0.5000 0.0000  2 Se 2.47
Se 0.5000 0.0000 0.0000  2 Se 2.47
N 0.0000 0.0000 0.5000  2 C 1.23

2.
Compound: PmPb2Au
Source: the Alexandria database
Functional: PBE-GGA
Structure: relaxed

Results
For the spin magnetization, the calculation gives 0.00 Bohr magnetons per cell. As for the crystal system: tetragonal. For the total energy, the calculation gives -4.33 eV per atom. The space group is P4/nmm. The calculation puts the energy relative to the elements at -466.7 meV per atom. The value obtained for the energy above the most stable polymorph in this dataset is 0.069 eV/f.u.

abc: 4.7875 4.7875 9.4292
angles: 90.00 90.00 90.00
Closest atoms and distances in Å follow each position.
Positions (direct):
Pm 0.0000 0.5000 0.2158  4 Au 3.14, 4 Pb 3.39
Pm 0.5000 0.0000 0.7842  4 Au 3.14, 4 Pb 3.39
Pb 0.0000 0.0000 0.5000  8 Pb 3.39-3.67, 4 Pm 3.59
Pb 0.5000 0.5000 0.5000  8 Pb 3.39-3.67, 4 Pm 3.59
Pb 0.0000 0.5000 0.7955  4 Au 3.07, 4 Pm 3.39
Pb 0.5000 0.0000 0.2045  4 Au 3.07, 4 Pm 3.39
Au 0.0000 0.0000 0.0000  4 Pb 3.07, 4 Pm 3.14, 4 Au 3.39
Au 0.5000 0.5000 0.0000  4 Pb 3.07, 4 Pm 3.14, 4 Au 3.39